This record from Alexandria via LeMat-Bulk describes an optimized crystal structure of Fe2BAuF. The functional is PBE+U.

Summary:
**V**: 109.93 Å³ per cell
**E**: -3.292 eV/atom
**SG**: P4/mmm
**Total magnetization**: 7.17 μB per formula unit

Cell lengths 5.0785, 5.0785, 4.2624 Å; angles 90.00, 90.00, 90.00 degrees
Positions (direct):
Fe1 0.0000 0.5000 0.0000
Fe2 0.5000 0.0000 0.0000
B1 0.0000 0.0000 0.5000
Au1 0.5000 0.5000 0.0000
F1 0.5000 0.5000 0.5000